# 1
VASP calculation (PBE) on crystalline Cd3In4Hg16 at its relaxed geometry.

a = 7.1897 Å, b = 7.1897 Å, c = 12.2064 Å
α = 90.00°, β = 90.00°, γ = 90.00°
Fractional positions:
Hg 0.7160 0.7160 0.0000
Hg 0.5000 0.5000 0.8011
Hg 0.5000 0.5000 0.1989
Hg 0.7405 0.7405 0.3636
Hg 0.2595 0.7405 0.3636
Hg 0.7405 0.7405 0.6364
Hg 0.2595 0.7405 0.6364
Hg 0.7160 0.2840 0.0000
Hg 0.2840 0.7160 0.0000
Hg 0.0000 0.0000 0.2340
Hg 0.2595 0.2595 0.6364
Hg 0.7405 0.2595 0.3636
Hg 0.7405 0.2595 0.6364
Hg 0.0000 0.0000 0.7660
Hg 0.2840 0.2840 0.0000
Hg 0.2595 0.2595 0.3636
In 0.0000 0.5000 0.8205
In 0.0000 0.5000 0.1795
In 0.5000 0.0000 0.1795
In 0.5000 0.0000 0.8205
Cd 0.5000 0.0000 0.5000
Cd 0.0000 0.0000 0.0000
Cd 0.0000 0.5000 0.5000

Summary:
- Energy of formation from the pure elements: 2.71 kJ/mol of atoms
- E: -17.88 eV/cell
- Total magnetic moment: 0.00 μB per cell
- SG: No. 123

# 2
VASP calculation (PBE) on crystalline Cd3InHg4 at its relaxed geometry.

a = 6.2158 Å, b = 6.2854 Å, c = 10.1934 Å
α = 90.00°, β = 90.00°, γ = 90.00°
Fractional positions:
Hg 0.2523 0.5590 0.2484
Hg 0.9990 0.8138 0.0000
Hg 0.4976 0.8102 0.5000
Hg 0.7477 0.0590 0.2516
Hg 0.5024 0.3102 0.0000
Hg 0.7477 0.0590 0.7484
Hg 0.0010 0.3138 0.5000
Hg 0.2523 0.5590 0.7516
Cd 0.2434 0.0592 0.2503
Cd 0.0013 0.3128 0.0000
Cd 0.7566 0.5592 0.7503
Cd 0.9987 0.8128 0.5000
Cd 0.2434 0.0592 0.7497
Cd 0.7566 0.5592 0.2497
In 0.4997 0.8115 0.0000
In 0.5003 0.3115 0.5000

Summary:
- Energy of formation from the pure elements: 2.39 kJ/mol of atoms
- E: -12.99 eV/cell
- Total magnetic moment: 0.00 μB per cell
- SG: No. 31

# 3
VASP calculation (PBE) on crystalline Cd6In5Hg2 at its relaxed geometry.

a = 4.1825 Å, b = 11.4163 Å, c = 14.0829 Å
α = 90.00°, β = 90.00°, γ = 90.00°
Fractional positions:
In 0.5000 0.8875 0.0695
In 0.5000 0.0000 0.5000
In 0.5000 0.4001 0.7858
In 0.5000 0.5999 0.2142
In 0.5000 0.5000 0.0000
In 0.5000 0.6125 0.5695
In 0.5000 0.0999 0.2858
In 0.5000 0.3875 0.4305
In 0.5000 0.1125 0.9305
In 0.5000 0.9001 0.7142
Cd 0.0000 0.6853 0.0545
Cd 0.0000 0.1853 0.4455
Cd 0.0000 0.6020 0.3954
Cd 0.5000 0.7953 0.3726
Cd 0.0000 0.8980 0.8954
Cd 0.0000 0.3147 0.9455
Cd 0.0000 0.8147 0.5545
Cd 0.0000 0.3980 0.6046
Cd 0.5000 0.2047 0.6274
Cd 0.0000 0.1020 0.1046
Cd 0.5000 0.2953 0.1274
Cd 0.5000 0.7047 0.8726
Hg 0.0000 0.1200 0.7632
Hg 0.0000 0.6200 0.7368
Hg 0.0000 0.8800 0.2368
Hg 0.0000 0.3800 0.2632

Summary:
- Energy of formation from the pure elements: 4.40 kJ/mol of atoms
- E: -38.39 eV/cell
- Total magnetic moment: 0.00 μB per cell
- SG: No. 55

# 4
VASP calculation (PBE) on crystalline CdIn12Hg7 at its relaxed geometry.

a = 8.2651 Å, b = 8.2651 Å, c = 8.2651 Å
α = 97.25°, β = 97.25°, γ = 97.25°
Fractional positions:
In 0.2542 0.7531 0.8856
In 0.2469 0.1144 0.7458
In 0.8856 0.2542 0.7531
In 0.7531 0.8856 0.2542
In 0.4008 0.8399 0.5319
In 0.1601 0.4681 0.5992
In 0.7458 0.2469 0.1144
In 0.1144 0.7458 0.2469
In 0.5319 0.4008 0.8399
In 0.5992 0.1601 0.4681
In 0.8399 0.5319 0.4008
In 0.4681 0.5992 0.1601
Hg 0.1334 0.3814 0.1022
Hg 0.1022 0.1334 0.3814
Hg 0.3814 0.1022 0.1334
Hg 0.5000 0.5000 0.5000
Hg 0.8666 0.6186 0.8978
Hg 0.8978 0.8666 0.6186
Hg 0.6186 0.8978 0.8666
Cd 0.0000 0.0000 0.0000

Summary:
- Energy of formation from the pure elements: 4.06 kJ/mol of atoms
- E: -35.05 eV/cell
- Total magnetic moment: 0.00 μB per cell
- ΔE to the lowest computed polymorph: 25.6 kJ/mol of formula units
- SG: No. 148